Record 1
The following is a DFT calculation (PBE-GGA) of a relaxed structure of AgTePtAu.

Uncorrected energy in eV per atom: -3.66
Magnetization in μB/f.u.: 0.0
Symmetry: No. 216
Distance to the lowest polymorph of the same formula in eV/atom: 0.000

extended XYZ file:
```
4
Lattice="4.271 -0.704 2.034 2.012 3.473 2.601 0.341 -0.460 4.749" Properties=species:S:1:pos:R:3 pbc="T T T"
Ag 0.000 0.000 0.000
Au 4.968 1.731 7.038
Pt 3.312 1.154 4.692
Te 1.656 0.577 2.346
```


Record 2
The following is a DFT calculation (PBE-GGA) of a relaxed structure of LiHfTlCo.

Uncorrected energy in eV per atom: -5.36
Magnetization in μB/f.u.: 0.0
Symmetry: No. 216
Distance to the lowest polymorph of the same formula in eV/atom: 0.000

extended XYZ file:
```
4
Lattice="0.000 3.186 3.186 3.186 0.000 3.186 3.186 3.186 0.000" Properties=species:S:1:pos:R:3 pbc="T T T"
Co 4.779 4.779 4.779
Hf 3.186 3.186 3.186
Li 1.593 1.593 1.593
Tl 0.000 0.000 0.000
```


Record 3
The following is a DFT calculation (PBE-GGA) of a relaxed structure of ZrCdB4.

Uncorrected energy in eV per atom: -6.18
Magnetization in μB/f.u.: 0.0
Symmetry: No. 191
Distance to the lowest polymorph of the same formula in eV/atom: 0.000

extended XYZ file:
```
6
Lattice="-3.054 0.110 -0.741 2.116 -0.831 -2.172 -0.765 -7.339 2.063" Properties=species:S:1:pos:R:3 pbc="T T T"
B -1.537 -2.182 -0.662
B 0.187 -2.496 -1.139
B -1.889 -5.564 0.288
B -0.166 -5.878 -0.189
Cd 0.000 0.000 0.000
Zr -0.382 -3.669 1.031
```


Record 4
The following is a DFT calculation (PBE-GGA) of a relaxed structure of NdHf4C2S.

Uncorrected energy in eV per atom: -9.27
Magnetization in μB/f.u.: 0.4
Symmetry: No. 187

extended XYZ file:
```
8
Lattice="3.341 0.000 0.000 -1.671 2.893 0.000 0.000 0.000 14.643" Properties=species:S:1:pos:R:3 pbc="T T T"
C 1.671 0.964 4.283
C 1.671 0.964 10.359
Hf 0.000 1.929 3.038
Hf 0.000 0.000 5.500
Hf 0.000 0.000 9.143
Hf 0.000 1.929 11.605
Nd 0.000 0.000 0.000
S 0.000 1.929 7.321
```


Record 5
The following is a DFT calculation (PBE-GGA) of a relaxed structure of Zr3ZnCo8.

Uncorrected energy in eV per atom: -7.25
Magnetization in μB/f.u.: 1.7
Symmetry: No. 160

extended XYZ file:
```
12
Lattice="2.411 1.392 7.907 -2.411 1.392 7.907 0.000 -2.784 7.907" Properties=species:S:1:pos:R:3 pbc="T T T"
Co 0.000 1.402 9.392
Co 1.198 0.692 5.422
Co -1.198 0.692 5.422
Co 0.000 0.000 7.406
Co 0.000 -1.384 5.422
Co 1.214 -0.701 9.392
Co -1.214 -0.701 9.392
Co 0.000 0.000 19.263
Zn 0.000 0.000 3.037
Zr 0.000 0.000 0.164
Zr 0.000 0.000 11.731
Zr 0.000 0.000 14.766
```


Record 6
The following is a DFT calculation (PBE-GGA) of a relaxed structure of Hf2AlOs3.

Uncorrected energy in eV per atom: -10.03
Magnetization in μB/f.u.: 0.2
Symmetry: No. 194

extended XYZ file:
```
12
Lattice="5.336 0.000 0.000 -2.668 4.621 0.000 0.000 0.000 8.068" Properties=species:S:1:pos:R:3 pbc="T T T"
Al 0.000 0.000 0.000
Al 0.000 0.000 4.034
Hf 0.000 3.081 0.491
Hf 0.000 3.081 3.543
Hf 2.668 1.540 4.525
Hf 2.668 1.540 7.577
Os 1.363 0.787 2.017
Os 3.973 0.787 2.017
Os 2.668 3.047 2.017
Os 0.000 1.574 6.051
Os -1.305 3.834 6.051
Os 1.305 3.834 6.051
```


Record 7
The following is a DFT calculation (PBE-GGA) of a relaxed structure of AlNiHg.

Uncorrected energy in eV per atom: -3.22
Magnetization in μB/f.u.: 0.0
Symmetry: No. 216
Distance to the lowest polymorph of the same formula in eV/atom: 0.000

extended XYZ file:
```
3
Lattice="-0.496 3.203 2.695 1.617 3.785 -0.905 -2.556 3.204 -0.982" Properties=species:S:1:pos:R:3 pbc="T T T"
Al -0.359 2.548 0.202
Hg -1.076 7.644 0.605
Ni 0.000 0.000 0.000
```


Record 8
The following is a DFT calculation (PBE-GGA) of a relaxed structure of Pr2DySn3Ir2Pd.

Uncorrected energy in eV per atom: -6.26
Magnetization in μB/f.u.: 0.0
Symmetry: No. 38

extended XYZ file:
```
9
Lattice="4.118 0.000 0.000 0.000 6.519 3.789 0.000 -6.519 3.789" Properties=species:S:1:pos:R:3 pbc="T T T"
Dy 0.000 0.000 3.127
Ir 2.059 2.100 3.772
Ir 2.059 -2.100 3.772
Pd 0.000 0.000 0.046
Pr 0.000 2.697 6.002
Pr 0.000 -2.697 6.002
Sn 2.059 1.665 0.986
Sn 2.059 -1.665 0.986
Sn 2.059 0.000 5.621
```


Record 9
The following is a DFT calculation (PBE-GGA) of a relaxed structure of SrCuNiAs.

Uncorrected energy in eV per atom: -3.88
Magnetization in μB/f.u.: 0.0
Symmetry: No. 216
Distance to the lowest polymorph of the same formula in eV/atom: 0.019

extended XYZ file:
```
4
Lattice="-2.016 -3.222 2.831 -4.696 -0.629 -0.093 -1.824 -3.966 -1.845" Properties=species:S:1:pos:R:3 pbc="T T T"
As -2.134 -1.954 0.223
Cu -6.402 -5.862 0.669
Ni -4.268 -3.908 0.446
Sr 0.000 0.000 0.000
```


Record 10
The following is a DFT calculation (PBE-GGA) of a relaxed structure of LuTlFeTe3.

Uncorrected energy in eV per atom: -4.61
Magnetization in μB/f.u.: 3.9
Symmetry: No. 62
Distance to the lowest polymorph of the same formula in eV/atom: 0.112

extended XYZ file:
```
24
Lattice="-3.305 4.298 8.264 -3.285 -3.007 0.250 9.615 -9.764 8.923" Properties=species:S:1:pos:R:3 pbc="T T T"
Fe -1.698 0.752 6.638
Fe 2.205 -3.682 4.593
Fe 0.820 -4.791 12.844
Fe 4.723 -9.225 10.799
Lu -1.423 0.164 3.173
Lu 0.795 -1.617 10.897
Lu 2.230 -6.855 6.540
Lu 4.448 -8.636 14.264
Te -3.388 2.649 7.228
Te -3.094 -1.133 5.401
Te 0.582 -1.998 3.522
Te -0.328 -0.602 8.343
Te 1.245 -6.010 3.761
Te 2.636 -3.940 7.153
Te 0.389 -4.532 10.284
Te 1.780 -2.462 13.676
Te 3.353 -7.870 9.094
Te 2.443 -6.475 13.915
Te 6.119 -7.340 12.036
Te 6.414 -11.121 10.209
Tl -3.705 -0.121 9.535
Tl -0.886 -3.455 6.485
Tl 3.912 -5.017 10.952
Tl 6.730 -8.351 7.902
```


Record 11
The following is a DFT calculation (PBE-GGA) of a relaxed structure of Y2TmCo2B2N3.

Uncorrected energy in eV per atom: -8.23
Magnetization in μB/f.u.: 0.0
Symmetry: No. 139

extended XYZ file:
```
10
Lattice="0.994 -10.130 0.368 2.623 -8.632 4.727 -4.070 9.192 -1.637" Properties=species:S:1:pos:R:3 pbc="T T T"
B 0.698 -3.619 0.983
B 2.919 -15.144 4.112
Co -0.634 -5.159 0.639
Co 0.181 -4.410 2.819
N 0.422 -2.188 0.594
N 1.809 -9.381 2.548
N 3.195 -16.575 4.501
Tm 0.000 0.000 0.000
Y 1.363 -7.070 1.920
Y 2.254 -11.693 3.175
```


Record 12
The following is a DFT calculation (PBE-GGA) of a relaxed structure of TlSnHg3S4.

Uncorrected energy in eV per atom: -2.63
Symmetry: No. 215
Distance to the lowest polymorph of the same formula in eV/atom: 0.120

extended XYZ file:
```
9
Lattice="6.629 0.000 0.000 0.000 6.629 0.000 0.000 0.000 6.629" Properties=species:S:1:pos:R:3 pbc="T T T"
Hg 3.314 3.314 0.000
Hg 3.314 0.000 3.314
Hg 0.000 3.314 3.314
S 1.778 1.778 1.778
S 4.851 4.851 1.778
S 4.851 1.778 4.851
S 1.778 4.851 4.851
Sn 3.314 3.314 3.314
Tl 0.000 0.000 0.000
```


Record 13
The following is a DFT calculation (PBE-GGA) of a relaxed structure of Zr4NiC3.

Uncorrected energy in eV per atom: -9.09
Magnetization in μB/f.u.: 0.0
Symmetry: No. 194

extended XYZ file:
```
16
Lattice="3.345 0.000 0.000 -1.672 2.897 0.000 0.000 0.000 23.661" Properties=species:S:1:pos:R:3 pbc="T T T"
C 0.000 0.000 0.000
C 1.672 0.966 2.777
C 1.672 0.966 9.054
C 0.000 0.000 11.830
C 0.000 1.931 14.607
C 0.000 1.931 20.884
Ni 0.000 1.931 5.915
Ni 1.672 0.966 17.745
Zr 0.000 1.931 1.320
Zr 0.000 0.000 3.995
Zr 0.000 0.000 7.836
Zr 0.000 1.931 10.511
Zr 1.672 0.966 13.150
Zr 0.000 0.000 15.825
Zr 0.000 0.000 19.666
Zr 1.672 0.966 22.341
```


Record 14
The following is a DFT calculation (PBE-GGA) of a relaxed structure of SmInCo.

Uncorrected energy in eV per atom: -4.96
Magnetization in μB/f.u.: 0.1
Symmetry: No. 216

extended XYZ file:
```
3
Lattice="-0.454 -0.832 4.505 1.301 3.175 3.070 -3.170 2.266 2.451" Properties=species:S:1:pos:R:3 pbc="T T T"
Co 0.000 0.000 0.000
In -0.581 1.152 2.507
Sm -1.743 3.457 7.520
```


Record 15
The following is a DFT calculation (PBE-GGA) of a relaxed structure of HoTmMo2C3.

Uncorrected energy in eV per atom: -8.69
Magnetization in μB/f.u.: 0.0
Symmetry: No. 8

extended XYZ file:
```
7
Lattice="5.643 -1.684 0.000 5.643 1.684 0.000 -1.778 0.000 5.373" Properties=species:S:1:pos:R:3 pbc="T T T"
C 2.620 0.000 1.318
C 6.903 0.000 4.063
C 9.506 0.000 5.359
Ho 6.362 0.000 1.720
Mo 9.372 0.000 0.691
Mo 0.134 0.000 4.681
Tm 3.137 0.000 3.659
```


Record 16
The following is a DFT calculation (PBE-GGA) of a relaxed structure of TbHgSO.

Uncorrected energy in eV per atom: -5.23
Magnetization in μB/f.u.: 0.4
Symmetry: No. 129
Distance to the lowest polymorph of the same formula in eV/atom: 0.116

extended XYZ file:
```
8
Lattice="-1.279 1.801 -3.267 -3.425 -1.936 0.273 -3.739 7.399 5.542" Properties=species:S:1:pos:R:3 pbc="T T T"
Hg -3.685 4.566 0.389
Hg -4.758 2.698 2.159
O -1.815 0.867 -2.382
O -2.889 -1.002 -0.612
S -4.506 1.834 -0.796
S -3.937 5.430 3.344
Tb -1.594 0.794 -0.128
Tb -6.849 6.470 2.676
```


Record 17
The following is a DFT calculation (PBE-GGA) of a relaxed structure of BeAgSO.

Uncorrected energy in eV per atom: -4.55
Symmetry: No. 29
Distance to the lowest polymorph of the same formula in eV/atom: 0.540

extended XYZ file:
```
16
Lattice="-5.756 -0.665 0.979 1.332 -5.405 4.161 0.352 3.515 4.454" Properties=species:S:1:pos:R:3 pbc="T T T"
Ag -0.455 0.806 2.764
Ag -2.361 -3.468 6.288
Ag -1.561 2.415 5.209
Ag -3.467 -1.859 8.733
Be -4.835 -2.422 2.496
Be -1.564 -3.682 3.232
Be -2.664 -0.434 4.384
Be 0.606 -1.694 5.119
O 0.159 -0.483 1.123
O -1.800 -4.543 4.482
O -2.375 0.961 3.811
O -4.334 -3.098 7.169
S -2.789 -1.976 2.902
S 0.371 -2.788 3.293
S -4.510 -0.437 5.451
S -1.350 -1.249 5.842
```


Record 18
The following is a DFT calculation (PBE-GGA) of a relaxed structure of Li8PrO6.

Uncorrected energy in eV per atom: -5.25
Magnetization in μB/f.u.: 1.0
Symmetry: No. 148

extended XYZ file:
```
15
Lattice="-4.719 1.903 3.825 -6.251 -0.801 -0.896 -3.941 -3.678 3.386" Properties=species:S:1:pos:R:3 pbc="T T T"
Li -7.159 0.721 2.868
Li -8.889 -0.577 1.873
Li -5.424 -0.937 2.297
Li -7.284 -2.257 1.357
Li -7.628 -0.319 4.957
Li -9.487 -1.639 4.018
Li -6.022 -1.999 4.441
Li -7.753 -3.297 3.447
O -7.044 -0.235 1.242
O -8.902 0.309 3.711
O -5.829 -0.142 4.150
O -9.083 -2.434 2.164
O -6.010 -2.885 2.604
O -7.867 -2.341 5.073
Pr 0.000 0.000 0.000
```


Record 19
The following is a DFT calculation (PBE-GGA) of a relaxed structure of AlAgB.

Uncorrected energy in eV per atom: -3.57
Symmetry: No. 216

extended XYZ file:
```
3
Lattice="0.000 2.840 2.840 2.840 0.000 2.840 2.840 2.840 0.000" Properties=species:S:1:pos:R:3 pbc="T T T"
Ag 1.420 1.420 1.420
Al 0.000 0.000 0.000
B 4.260 4.260 4.260
```


Record 20
The following is a DFT calculation (PBE-GGA) of a relaxed structure of Nb2Al2O5.

Uncorrected energy in eV per atom: -7.60
Magnetization in μB/f.u.: 5.1
Symmetry: No. 123
Distance to the lowest polymorph of the same formula in eV/atom: 0.000

extended XYZ file:
```
9
Lattice="-4.397 6.102 -1.766 -2.820 -2.130 -0.335 -0.751 0.454 3.440" Properties=species:S:1:pos:R:3 pbc="T T T"
Al -2.887 0.690 1.110
Al -5.082 3.736 0.228
Nb 0.000 0.000 0.000
Nb -2.199 3.051 -0.883
O -2.196 0.025 -0.483
O -5.022 3.947 -1.618
O -1.161 1.317 1.404
O -3.987 5.239 0.269
O -3.985 2.213 0.669
```